(1)
A plane-wave DFT calculation with GGA-PBE was carried out for a relaxed structure of Pm6PrSn.

Computed properties:
Calculated volume, Å³ per atom: 32.35
Density, Mg/m³: 7.2
Energy of formation, eV/atom: -0.19
Magnetization, μB per formula unit: 0.000
Crystal system: tetragonal

a = 4.990 Å, b = 4.990 Å, c = 10.392 Å
α = 90.00°, β = 90.00°, γ = 90.00°
Element x y z (fractional)
Pm1 0.500 0.500 0.000
Pm2 0.500 0.500 0.500
Pm3 0.500 0.000 0.238
Pm4 0.500 0.000 0.762
Pm5 0.000 0.500 0.238
Pm6 0.000 0.500 0.762
Pr1 0.000 0.000 0.500
Sn1 0.000 0.000 0.000

---

(2)
A plane-wave DFT calculation with GGA-PBE was carried out for a relaxed structure of Cs3Sn2Br5Cl2.

Computed properties:
Calculated volume, Å³ per atom: 42.31
Density, Mg/m³: 3.6
Magnetization, μB per formula unit: 0.000
Formation energy without anion corrections, eV/atom: -1.37
Crystal system: tetragonal

a = 5.908 Å, b = 5.908 Å, c = 15.134 Å
α = 101.26°, β = 101.26°, γ = 90.00°
Element x y z (fractional)
Cs1 0.184 0.184 0.368
Cs2 0.816 0.816 0.632
Cs3 0.000 0.000 0.000
Sn1 0.396 0.396 0.792
Sn2 0.604 0.604 0.208
Br1 0.601 0.101 0.203
Br2 0.399 0.899 0.797
Br3 0.101 0.601 0.203
Br4 0.899 0.399 0.797
Br5 0.500 0.500 0.000
Cl1 0.698 0.698 0.397
Cl2 0.302 0.302 0.603

---

(3)
A plane-wave DFT calculation with GGA-PBE was carried out for a relaxed structure of KYHf.

Computed properties:
Calculated volume, Å³ per atom: 42.40
Density, Mg/m³: 4.0
Energy of formation, eV/atom: 1.58
Magnetization, μB per formula unit: 4.559
E above lowest polymorph, kJ/mol of formula units: 367.6
Crystal system: cubic

a = 5.645 Å, b = 5.645 Å, c = 5.645 Å
α = 60.00°, β = 60.00°, γ = 60.00°
Last column: magnetic moment on the atom in μB.
Element x y z (fractional)
Y1 0.750 0.750 0.750  0.78
K1 0.250 0.250 0.250  0.06
Hf1 0.500 0.500 0.500  1.54

---

(4)
A plane-wave DFT calculation with GGA-PBE was carried out for a relaxed structure of Zr2HSe.

Computed properties:
Calculated volume, Å³ per atom: 16.22
Density, Mg/m³: 6.7
Magnetization, μB per formula unit: 0.000
E above lowest polymorph, kJ/mol of formula units: 72.0
Crystal system: tetragonal

a = 6.413 Å, b = 6.413 Å, c = 5.524 Å
α = 54.52°, β = 54.52°, γ = 90.00°
Element x y z (fractional)
H1 0.500 0.500 0.000
H2 0.250 0.750 0.500
Se1 0.000 0.000 0.000
Se2 0.750 0.250 0.500
Zr1 0.540 0.125 0.250
Zr2 0.210 0.625 0.250
Zr3 0.375 0.460 0.750
Zr4 0.875 0.790 0.750